No. 1
CaEuZnSb PBE-GGA relaxed; total DFT energy (no corrections) = -5.0209 eV per atom; formation energy (no corrections) = -0.603 eV/atom; DOS at the Fermi energy = 3.4 states/eV/cell; magnetization = 1.864 μB per atom
1.0
5.395 0.000 0.000
2.698 4.673 0.000
2.698 1.558 4.405
Eu Sb Zn Ca
1 1 1 1
Cartesian
8.093 4.673 3.304
5.395 3.115 2.203
0.000 0.000 0.000
2.698 1.558 1.101

No. 2
CaEu2Sc PBE-GGA relaxed; ΔE to the lowest computed polymorph = 0 meV per atom; total DFT energy (no corrections) = -7.0960 eV per atom; energy of formation from the pure elements = 0.12 eV/atom; DOS at the Fermi energy = 4.0 states/eV/cell; magnetization = 3.660 μB per atom
1.0
-0.307 -0.165 -3.970
3.580 -1.738 -0.205
-3.981 -8.279 0.651
Eu Sc Ca
2 1 1
Cartesian
-3.123 -6.495 0.511
-0.858 -1.784 0.140
1.637 -0.951 -2.087
-0.354 -5.091 -1.762

No. 3
Ca2EuSc PBE-GGA relaxed; ΔE to the lowest computed polymorph = 0 meV per atom; total DFT energy (no corrections) = -4.9556 eV per atom; energy of formation from the pure elements = 0.20 eV/atom; DOS at the Fermi energy = 5.5 states/eV/cell; magnetization = 1.929 μB per atom
1.0
5.872 0.000 0.000
2.936 5.085 0.000
2.936 1.695 4.794
Ca Eu Sc
2 1 1
Cartesian
2.936 1.695 1.199
8.807 5.085 3.596
0.000 0.000 0.000
5.872 3.390 2.397

No. 4
CaEu2Sc PBE-GGA relaxed; ΔE to the lowest computed polymorph = 59 meV per atom; total DFT energy (no corrections) = -7.0374 eV per atom; energy of formation from the pure elements = 0.18 eV/atom; DOS at the Fermi energy = 4.7 states/eV/cell; magnetization = 3.664 μB per atom
1.0
4.130 0.000 0.000
0.000 5.899 0.000
0.000 0.000 5.899
Eu Ca Sc
2 1 1
Cartesian
0.000 0.000 2.950
0.000 2.950 0.000
2.065 2.950 2.950
2.065 0.000 0.000